# 1
{
  "formula": "RbTcHg3",
  "functional": "PBE-GGA",
  "state": "relaxed",
  "lattice_angstrom": [[5.4175, 0.0000, 0.0000], [0.0000, 5.4175, 0.0000], [0.0000, 0.0000, 5.4175]],
  "species": ["Rb", "Tc", "Hg", "Hg", "Hg"],
  "frac_coords": [[0.0000, 0.0000, 0.0000], [0.5000, 0.5000, 0.5000], [0.0000, 0.5000, 0.5000], [0.5000, 0.0000, 0.5000], [0.5000, 0.5000, 0.0000]],
  "rho_g_cm3": 8.20,
  "total_magnetization_mub_per_fu": 1.56,
  "delta_e_f_mev_per_atom": 286,
  "de_polymorph_ev_per_atom": 0.000,
  "dos_ef_per_ev_atom": 0.9871,
  "sg": "Pm-3m (221)"
}

# 2
{
  "formula": "RbY2TcHg",
  "functional": "PBE-GGA",
  "state": "relaxed",
  "lattice_angstrom": [[5.3145, 0.0000, 0.0000], [0.0000, 5.3145, 0.0000], [0.0000, 0.0000, 5.7308]],
  "species": ["Rb", "Y", "Y", "Tc", "Hg"],
  "frac_coords": [[0.0000, 0.0000, 0.0000], [0.0000, 0.5000, 0.5000], [0.5000, 0.0000, 0.5000], [0.5000, 0.5000, 0.5000], [0.5000, 0.5000, 0.0000]],
  "rho_g_cm3": 5.76,
  "total_magnetization_mub_per_fu": 0.00,
  "delta_e_f_mev_per_atom": 251,
  "dos_ef_per_ev_atom": 0.6333,
  "sg": "P4/mmm (123)"
}

# 3
{
  "formula": "Rb2HgTe",
  "functional": "PBE-GGA",
  "state": "relaxed",
  "lattice_angstrom": [[0.0000, 4.3551, 4.3551], [4.3551, 0.0000, 4.3551], [4.3551, 4.3551, 0.0000]],
  "species": ["Rb", "Rb", "Hg", "Te"],
  "frac_coords": [[0.2500, 0.2500, 0.2500], [0.7500, 0.7500, 0.7500], [0.0000, 0.0000, 0.0000], [0.5000, 0.5000, 0.5000]],
  "rho_g_cm3": 5.02,
  "total_magnetization_mub_per_fu": 0.00,
  "formation_energy_uncorrected_mev_per_atom": -754.8,
  "de_polymorph_ev_per_atom": 0.000,
  "dos_ef_per_ev_atom": 0.0000,
  "sg": "Fm-3m (225)"
}

# 4
{
  "formula": "Rb2Hg6Te",
  "functional": "PBE-GGA",
  "state": "relaxed",
  "lattice_angstrom": [[5.4557, -3.1203, 0.0000], [5.4557, 3.1203, 0.0000], [-1.1765, 0.0000, 9.6771]],
  "species": ["Rb", "Rb", "Hg", "Hg", "Hg", "Hg", "Hg", "Hg", "Te"],
  "frac_coords": [[0.1777, 0.1777, 0.1110], [0.8223, 0.8223, 0.8890], [0.2014, 0.6992, 0.3291], [0.2923, 0.2923, 0.6072], [0.3008, 0.7986, 0.6709], [0.6992, 0.2014, 0.3291], [0.7077, 0.7077, 0.3928], [0.7986, 0.3008, 0.6709], [0.5000, 0.5000, 0.0000]],
  "rho_g_cm3": 7.57,
  "total_magnetization_mub_per_fu": 0.00,
  "formation_energy_uncorrected_mev_per_atom": -301.1,
  "dos_ef_per_ev_atom": 0.1855,
  "sg": "C2/m (12)"
}

# 5
{
  "formula": "RbHgTe",
  "functional": "PBE-GGA",
  "state": "relaxed",
  "lattice_angstrom": [[5.3019, 0.0000, 0.0000], [-2.6510, 4.5916, 0.0000], [0.0000, 0.0000, 5.0838]],
  "species": ["Rb", "Hg", "Te"],
  "frac_coords": [[0.0000, 0.0000, 0.0000], [0.3333, 0.6667, 0.5000], [0.6667, 0.3333, 0.5000]],
  "rho_g_cm3": 5.55,
  "total_magnetization_mub_per_fu": 0.00,
  "formation_energy_uncorrected_mev_per_atom": -515.1,
  "de_polymorph_ev_per_atom": 0.079,
  "dos_ef_per_ev_atom": 0.2297,
  "sg": "P-6m2 (187)"
}

# 6
{
  "formula": "Rb2HgTe",
  "functional": "PBE-GGA",
  "state": "relaxed",
  "lattice_angstrom": [[-3.3685, 3.3685, 10.6843], [3.3685, -3.3685, 10.6843], [3.3685, 3.3685, -10.6843]],
  "species": ["Rb", "Rb", "Rb", "Rb", "Hg", "Hg", "Te", "Te"],
  "frac_coords": [[0.0921, 0.6250, 0.9671], [0.3750, 0.3421, 0.4671], [0.6579, 0.1250, 0.0329], [0.8750, 0.9079, 0.5329], [0.2500, 0.7500, 0.5000], [0.5000, 0.5000, 0.0000], [0.0000, 0.0000, 0.0000], [0.7500, 0.2500, 0.5000]],
  "rho_g_cm3": 3.42,
  "total_magnetization_mub_per_fu": 0.00,
  "formation_energy_uncorrected_mev_per_atom": -494.1,
  "de_polymorph_ev_per_atom": 0.261,
  "dos_ef_per_ev_atom": 0.0000,
  "sg": "I-42d (122)"
}

# 7
{
  "formula": "Rb3HgTe",
  "functional": "PBE-GGA",
  "state": "relaxed",
  "lattice_angstrom": [[11.2028, 0.0000, 0.0000], [0.0000, 9.7938, 0.0000], [-3.8555, 0.0000, 9.4437]],
  "species": ["Rb", "Rb", "Rb", "Rb", "Rb", "Rb", "Rb", "Rb", "Rb", "Rb", "Rb", "Rb", "Hg", "Hg", "Hg", "Hg", "Te", "Te", "Te", "Te"],
  "frac_coords": [[0.0251, 0.0038, 0.2210], [0.0251, 0.4962, 0.7210], [0.2404, 0.1398, 0.6012], [0.2404, 0.3602, 0.1012], [0.3467, 0.6953, 0.4157], [0.3467, 0.8047, 0.9157], [0.6533, 0.1953, 0.0843], [0.6533, 0.3047, 0.5843], [0.7596, 0.6398, 0.8988], [0.7596, 0.8602, 0.3988], [0.9749, 0.5038, 0.2790], [0.9749, 0.9962, 0.7790], [0.4331, 0.0463, 0.3372], [0.4331, 0.4537, 0.8372], [0.5669, 0.5463, 0.1628], [0.5669, 0.9537, 0.6628], [0.1067, 0.7143, 0.0514], [0.1067, 0.7857, 0.5514], [0.8933, 0.2143, 0.4486], [0.8933, 0.2857, 0.9486]],
  "rho_g_cm3": 3.75,
  "total_magnetization_mub_per_fu": 0.00,
  "formation_energy_uncorrected_mev_per_atom": -590.8,
  "de_polymorph_ev_per_atom": 0.000,
  "dos_ef_per_ev_atom": 0.2560,
  "sg": "P2_1/c (14)"
}

# 8
{
  "formula": "RbHgTe",
  "functional": "PBE-GGA",
  "state": "relaxed",
  "lattice_angstrom": [[3.4988, -4.7103, 0.0000], [3.4988, 4.7103, 0.0000], [0.0000, 0.0000, 7.4238]],
  "species": ["Rb", "Rb", "Hg", "Hg", "Te", "Te"],
  "frac_coords": [[0.1515, 0.8485, 0.7500], [0.8485, 0.1515, 0.2500], [0.5000, 0.5000, 0.0000], [0.5000, 0.5000, 0.5000], [0.2382, 0.7618, 0.2500], [0.7618, 0.2382, 0.7500]],
  "rho_g_cm3": 5.61,
  "total_magnetization_mub_per_fu": 0.00,
  "formation_energy_uncorrected_mev_per_atom": -399.4,
  "de_polymorph_ev_per_atom": 0.195,
  "dos_ef_per_ev_atom": 1.2118,
  "sg": "Cmcm (63)"
}